# 1
The following is a PBE-GGA calculation of a relaxed structure of CaNd2Pu, from Alexandria.

Results
Total DFT energy (no corrections), eV/atom: -6.32
Symmetry: R3m (160)
ΔE_f, eV/atom: 0.1480
E above lowest polymorph, kcal/mol of atoms: 0.349

Cell: 3.6467 3.6467 12.1675 Å, 81.38 81.38 60.00°
Last column: nearest neighbours and their distance in Å.
Positions (direct):
Ca  0.5003  0.5003  0.4992  6 Ca 3.65, 6 Nd 3.83-3.85
Nd  0.0773  0.0773  0.7680  3 Pu 3.50, 6 Nd 3.65, 3 Ca 3.85
Nd  0.2561  0.2561  0.2318  3 Pu 3.48, 6 Nd 3.65, 3 Ca 3.83
Pu  0.6664  0.6664  0.0009  6 Nd 3.48-3.50, 6 Pu 3.65

***

# 2
The following is a PBE-GGA calculation of a relaxed structure of CaPr4Ho, from Alexandria.

Results
Total DFT energy (no corrections), eV/atom: -4.25
Symmetry: P4/mmm (123)
ΔE_f, eV/atom: 0.0311
E above lowest polymorph, kcal/mol of atoms: 0.000

Cell: 3.7233 3.7233 15.6676 Å, 90.00 90.00 90.00°
Last column: nearest neighbours and their distance in Å.
Positions (direct):
Ca  0.0000  0.0000  0.0000  4 Ca 3.72, 8 Pr 3.86
Pr  0.5000  0.5000  0.8196  8 Pr 3.64-3.72, 4 Ca 3.86
Pr  0.5000  0.5000  0.1804  8 Pr 3.64-3.72, 4 Ca 3.86
Pr  0.0000  0.0000  0.6596  4 Ho 3.63, 8 Pr 3.64-3.72
Pr  0.0000  0.0000  0.3404  4 Ho 3.63, 8 Pr 3.64-3.72
Ho  0.5000  0.5000  0.5000  8 Pr 3.63, 4 Ho 3.72

***

# 3
The following is a PBE-GGA calculation of a relaxed structure of Ce3Zn9Co2, from Alexandria.

Results
Total DFT energy (no corrections), eV/atom: -3.34
Symmetry: Immm (71)
ΔE_f, eV/atom: -0.2355

Cell: 4.5048 7.7693 7.7694 Å, 74.28 73.15 73.15°
Last column: nearest neighbours and their distance in Å.
Positions (direct):
Ce  0.0000  0.0000  0.0000  12 Zn 3.02-3.12
Ce  0.6958  0.3042  0.3042  2 Co 2.65
Ce  0.3042  0.6958  0.6958  2 Co 2.65
Zn  0.0000  0.5000  0.5000  4 Zn 2.51, 4 Co 2.65
Zn  0.6462  0.9975  0.7100  1 Co 2.58, 4 Zn 2.61-2.71
Zn  0.3538  0.0025  0.2900  1 Co 2.58, 4 Zn 2.61-2.71
Zn  0.6462  0.7100  0.9975  1 Co 2.58, 4 Zn 2.61-2.71
Zn  0.3538  0.2900  0.0025  1 Co 2.58, 4 Zn 2.61-2.71
Zn  0.8736  0.8444  0.4083  4 Zn 2.51-2.71, 2 Co 2.76
Zn  0.1264  0.1556  0.5917  4 Zn 2.51-2.71, 2 Co 2.76
Zn  0.8736  0.4083  0.8444  4 Zn 2.51-2.71, 2 Co 2.76
Zn  0.1264  0.5917  0.1556  4 Zn 2.51-2.71, 2 Co 2.76
Co  0.5000  0.3520  0.6480  8 Zn 2.58-2.76, 2 Ce 2.65, 1 Co 2.78
Co  0.5000  0.6480  0.3520  8 Zn 2.58-2.76, 2 Ce 2.65, 1 Co 2.78

***

# 4
The following is a PBE-GGA calculation of a relaxed structure of CoCu2HI, from Alexandria.

Results
Total DFT energy (no corrections), eV/atom: -2.88
Symmetry: P4/mmm (123)

Cell: 4.6394 4.7500 4.6394 Å, 90.00 90.00 90.00°
Last column: nearest neighbours and their distance in Å.
Positions (direct):
I  0.0000  0.5000  0.0000  2 Co 2.37
H  0.5000  0.5000  0.5000  4 I 3.28, 8 Cu 3.32
Co  0.0000  0.0000  0.0000  4 Cu 2.32, 2 I 2.37
Cu  0.0000  0.0000  0.5000  2 Co 2.32
Cu  0.5000  0.0000  0.0000  2 Co 2.32

***

# 5
The following is a PBE-GGA calculation of a relaxed structure of Cs2Cd7Hg, from Alexandria.

Results
Total DFT energy (no corrections), eV/atom: -0.90
Symmetry: P-4m2 (115)
ΔE_f, eV/atom: -0.0632

Cell: 5.3145 5.3145 11.8415 Å, 90.00 90.00 90.00°
Last column: nearest neighbours and their distance in Å.
Positions (direct):
Cs  0.5000  0.0000  0.7518  16 Cd 3.96-4.43, 2 Hg 3.96
Cs  0.0000  0.5000  0.2482  16 Cd 3.96-4.43, 2 Hg 3.96
Cd  0.0000  0.5000  0.8745  3 Cd 3.00-3.04, 2 Hg 3.04
Cd  0.5000  0.0000  0.3787  5 Cd 3.00-3.02
Cd  0.5000  0.0000  0.1255  3 Cd 3.00-3.04, 2 Hg 3.04
Cd  0.0000  0.5000  0.6213  5 Cd 3.00-3.02
Cd  0.0000  0.0000  0.5000  4 Cd 3.02
Cd  0.0000  0.0000  0.0000  4 Cd 3.04
Cd  0.5000  0.5000  0.5000  4 Cd 3.02
Hg  0.5000  0.5000  0.0000  4 Cd 3.04

***

# 6
The following is a PBE-GGA calculation of a relaxed structure of TlSn12Au4, from Alexandria.

Results
Total DFT energy (no corrections), eV/atom: -3.82
Symmetry: Im-3 (204)
ΔE_f, eV/atom: -0.0835

Cell: 8.4468 8.4467 8.4467 Å, 109.47 109.47 109.47°
Last column: nearest neighbours and their distance in Å.
Positions (direct):
Tl  0.0000  0.0000  0.0000  12 Sn 3.71
Sn  0.8465  0.3477  0.1942  2 Au 2.78, 2 Sn 2.97-2.99
Sn  0.3477  0.5012  0.1535  2 Au 2.78, 2 Sn 2.97-2.99
Sn  0.8058  0.1535  0.6523  2 Au 2.78, 2 Sn 2.97-2.99
Sn  0.3477  0.1942  0.8465  2 Au 2.78, 2 Sn 2.97-2.99
Sn  0.1942  0.8465  0.3477  2 Au 2.78, 2 Sn 2.97-2.99
Sn  0.6523  0.4988  0.8465  2 Au 2.78, 2 Sn 2.97-2.99
Sn  0.5012  0.1535  0.3477  2 Au 2.78, 2 Sn 2.97-2.99
Sn  0.4988  0.8465  0.6523  2 Au 2.78, 2 Sn 2.97-2.99
Sn  0.6523  0.8058  0.1535  2 Au 2.78, 2 Sn 2.97-2.99
Sn  0.8465  0.6523  0.4988  2 Au 2.78, 2 Sn 2.97-2.99
Sn  0.1535  0.3477  0.5012  2 Au 2.78, 2 Sn 2.97-2.99
Sn  0.1535  0.6523  0.8058  2 Au 2.78, 2 Sn 2.97-2.99
Au  0.0000  0.5000  0.0000  6 Sn 2.78
Au  0.5000  0.0000  0.0000  6 Sn 2.78
Au  0.5000  0.5000  0.5000  6 Sn 2.78
Au  0.0000  0.0000  0.5000  6 Sn 2.78

***

# 7
The following is a PBE-GGA calculation of a relaxed structure of Pr3InO6, from Alexandria.

Results
Total DFT energy (no corrections), eV/atom: -7.56
Symmetry: R-3 (148)
E above lowest polymorph, kcal/mol of atoms: 0.000
Uncorrected formation energy, eV per formula unit: -28.80

Cell: 6.9574 6.9574 6.9574 Å, 92.43 92.43 92.43°
Last column: nearest neighbours and their distance in Å.
Positions (direct):
Pr  0.4393  0.9320  0.7458  6 O 2.35-2.47
Pr  0.9320  0.7458  0.4393  6 O 2.35-2.47
Pr  0.2542  0.5607  0.0680  6 O 2.35-2.47
Pr  0.7458  0.4393  0.9320  6 O 2.35-2.47
Pr  0.0680  0.2542  0.5607  6 O 2.35-2.47
Pr  0.5607  0.0680  0.2542  6 O 2.35-2.47
In  0.0000  0.0000  0.0000  6 O 2.26
In  0.5000  0.5000  0.5000  6 O 2.22
O  0.3050  0.9146  0.0660  1 In 2.26, 3 Pr 2.35-2.47
O  0.0854  0.9340  0.6950  1 In 2.26, 3 Pr 2.35-2.47
O  0.5921  0.8045  0.4629  1 In 2.22, 3 Pr 2.40-2.43
O  0.9340  0.6950  0.0854  1 In 2.26, 3 Pr 2.35-2.47
O  0.4629  0.5921  0.8045  1 In 2.22, 3 Pr 2.40-2.43
O  0.1955  0.5371  0.4079  1 In 2.22, 3 Pr 2.40-2.43
O  0.8045  0.4629  0.5921  1 In 2.22, 3 Pr 2.40-2.43
O  0.5371  0.4079  0.1955  1 In 2.22, 3 Pr 2.40-2.43
O  0.0660  0.3050  0.9146  1 In 2.26, 3 Pr 2.35-2.47
O  0.4079  0.1955  0.5371  1 In 2.22, 3 Pr 2.40-2.43
O  0.9146  0.0660  0.3050  1 In 2.26, 3 Pr 2.35-2.47
O  0.6950  0.0854  0.9340  1 In 2.26, 3 Pr 2.35-2.47

***

# 8
The following is a PBE-GGA calculation of a relaxed structure of Pr5ScSn5, from Alexandria.

Results
Total DFT energy (no corrections), eV/atom: -5.05
Symmetry: C2/m (12)
ΔE_f, eV/atom: -0.4801

Cell: 6.1262 8.8018 7.2781 Å, 105.49 90.00 110.37°
Last column: nearest neighbours and their distance in Å.
Positions (direct):
Pr  0.6843  0.3686  0.2825  5 Sn 3.14-3.25
Pr  0.6508  0.3017  0.7688  5 Sn 3.23-3.46
Pr  0.0000  0.0000  0.5000  4 Sn 3.14-3.40
Pr  0.3492  0.6983  0.2312  5 Sn 3.23-3.46
Pr  0.3157  0.6314  0.7175  5 Sn 3.14-3.25
Sc  0.0000  0.0000  0.0000  6 Sn 2.91-3.09
Sn  0.8387  0.6773  0.0873  1 Sc 2.91, 1 Sn 3.17, 3 Pr 3.23-3.25
Sn  0.8401  0.6801  0.6523  1 Sc 3.09, 5 Pr 3.14-3.46, 1 Sn 3.17
Sn  0.5000  0.0000  0.0000  2 Sc 3.06, 4 Pr 3.15-3.38
Sn  0.1599  0.3199  0.3477  1 Sc 3.09, 5 Pr 3.14-3.46, 1 Sn 3.17
Sn  0.1613  0.3227  0.9127  1 Sc 2.91, 1 Sn 3.17, 3 Pr 3.23-3.25

***

# 9
The following is a PBE-GGA calculation of a relaxed structure of MgHgN3, from Alexandria.

Results
Total DFT energy (no corrections), eV/atom: -3.23
Symmetry: Pm-3m (221)
Uncorrected formation energy, eV per formula unit: 10.70

Cell: 4.2170 4.2170 4.2170 Å, 90.00 90.00 90.00°
Last column: nearest neighbours and their distance in Å.
Positions (direct):
Mg  0.5000  0.5000  0.5000  12 N 2.98
Hg  0.0000  0.0000  0.0000  6 N 2.11
N  0.0000  0.5000  0.0000  2 Hg 2.11
N  0.0000  0.0000  0.5000  2 Hg 2.11
N  0.5000  0.0000  0.0000  2 Hg 2.11

***

# 10
The following is a PBE-GGA calculation of a relaxed structure of NaAlSiSe4, from Alexandria.

Results
Total DFT energy (no corrections), eV/atom: -4.23
Symmetry: Cmcm (63)
Uncorrected formation energy, eV per formula unit: -5.22

Cell: 7.3302 7.3302 7.5393 Å, 90.00 90.00 111.49°
Last column: nearest neighbours and their distance in Å.
Positions (direct):
Na  0.5000  0.5000  0.5000  6 Se 3.03-3.05
Na  0.5000  0.5000  0.0000  6 Se 3.03-3.05
Al  0.8723  0.1277  0.2500  4 Se 2.42-2.43
Al  0.1277  0.8723  0.7500  4 Se 2.42-2.43
Si  0.1317  0.8683  0.2500  4 Se 2.30-2.31
Si  0.8683  0.1317  0.7500  4 Se 2.30-2.31
Se  0.2049  0.2222  0.7500  1 Si 2.31, 1 Al 2.42
Se  0.7778  0.7951  0.7500  1 Si 2.31, 1 Al 2.42
Se  0.7520  0.2480  0.9918  1 Si 2.30, 1 Al 2.43
Se  0.7520  0.2480  0.5082  1 Si 2.30, 1 Al 2.43
Se  0.2480  0.7520  0.0082  1 Si 2.30, 1 Al 2.43
Se  0.2480  0.7520  0.4918  1 Si 2.30, 1 Al 2.43
Se  0.7951  0.7778  0.2500  1 Si 2.31, 1 Al 2.42
Se  0.2222  0.2049  0.2500  1 Si 2.31, 1 Al 2.42

***

# 11
The following is a PBE-GGA calculation of a relaxed structure of PrY8Th2, from Alexandria.

Results
Total DFT energy (no corrections), eV/atom: -6.30
Symmetry: C2/m (12)
ΔE_f, eV/atom: 0.1808
E above lowest polymorph, kcal/mol of atoms: 0.067

Cell: 6.6835 6.6165 9.0915 Å, 111.34 97.88 90.00°
Last column: nearest neighbours and their distance in Å.
Positions (direct):
Pr  0.0000  0.0000  0.0000  8 Y 3.38-3.74
Y  0.5927  0.1714  0.8231  3 Y 3.18-3.44, 2 Th 3.30-3.41, 1 Pr 3.38
Y  0.4073  0.3483  0.1769  3 Y 3.18-3.44, 2 Th 3.30-3.41, 1 Pr 3.38
Y  0.8205  0.2039  0.4078  4 Th 3.42-3.60, 3 Y 3.58-3.71, 1 Pr 3.82
Y  0.1795  0.7961  0.5922  4 Th 3.42-3.60, 3 Y 3.58-3.71, 1 Pr 3.82
Y  0.5927  0.6517  0.8231  3 Y 3.18-3.44, 2 Th 3.30-3.41, 1 Pr 3.38
Y  0.4073  0.8286  0.1769  3 Y 3.18-3.44, 2 Th 3.30-3.41, 1 Pr 3.38
Y  0.0990  0.4100  0.8200  1 Th 3.37, 8 Y 3.50-3.75, 2 Pr 3.74
Y  0.9010  0.5900  0.1800  1 Th 3.37, 8 Y 3.50-3.75, 2 Pr 3.74
Th  0.3384  0.2485  0.4971  9 Y 3.30-3.60
Th  0.6616  0.7515  0.5029  9 Y 3.30-3.60

***

# 12
The following is a PBE-GGA calculation of a relaxed structure of BeTlPt2, from Alexandria.

Results
Total DFT energy (no corrections), eV/atom: -4.49
Symmetry: I-4m2 (119)
ΔE_f, eV/atom: 0.0575
E above lowest polymorph, kcal/mol of atoms: 8.119

Cell: 5.1031 5.1031 5.1031 Å, 135.44 135.44 64.84°
Last column: nearest neighbours and their distance in Å.
Positions (direct):
Be  0.7500  0.2500  0.5000  8 Pt 2.74-2.90, 4 Tl 2.90
Tl  0.5000  0.5000  0.0000  8 Pt 2.74-2.90, 4 Be 2.90
Pt  0.0000  0.0000  0.0000  4 Tl 2.74, 4 Be 2.90, 4 Pt 2.90
Pt  0.2500  0.7500  0.5000  4 Be 2.74, 4 Tl 2.90, 4 Pt 2.90

***

The highest total DFT energy (no corrections) belongs to which entry?
Cs2Cd7Hg